This record from Alexandria describes RbInMoF2 after structural relaxation. The functional is PBE+U.

Results
- E_tot: -3.87 eV/atom

Unit cell a=4.5434 b=4.5434 c=6.0552 alpha=90.00 beta=90.00 gamma=90.00
Last column: nearest neighbours and their distance in Å.
Space group P4/mmm (No. 123)
Asymmetric unit:
1 Rb 0.0000 0.0000 0.0000 [1 per cell]  4 In 3.21
2 In 0.5000 0.5000 0.0000 [1 per cell]  2 Mo 3.03, 4 Rb 3.21
3 Mo 0.5000 0.5000 0.5000 [1 per cell]  4 F 2.27
4 F 0.0000 0.5000 0.5000 [2 per cell]  2 Mo 2.27